No. 1
DFT (GGA-PBEsol) results for crystalline Sr2AgAu at its relaxed geometry.

The structure in CIF format:
```
data_Sr2AgAu
_chemical_formula_sum 'Sr2 Ag1 Au1'
_symmetry_space_group_name_H-M 'P 1'
_symmetry_Int_Tables_number 1
_symmetry_space_group_name_Hall 'P 1'
_cell_length_a 3.767
_cell_length_b 5.378
_cell_length_c 5.378
_cell_angle_alpha 90.00
_cell_angle_beta 90.00
_cell_angle_gamma 90.00
loop_
_atom_site_label
_atom_site_type_symbol
_atom_site_fract_x
_atom_site_fract_y
_atom_site_fract_z
Sr1 Sr 0.500 0.000 0.500
Sr2 Sr 0.500 0.500 0.000
Ag1 Ag 0.000 0.000 0.000
Au1 Au 0.000 0.500 0.500
```

Results
The formation energy comes out at -0.4446 eV per atom. Its density of states at the Fermi level is 0.75 states/eV/atom. As for the symmetry: No. 123. Its mass density is 7.317 g cm⁻³.

***

No. 2
DFT (GGA-PBEsol) results for crystalline SrAg2Au at its relaxed geometry.

The structure in CIF format:
```
data_SrAg2Au
_chemical_formula_sum 'Sr1 Ag2 Au1'
_symmetry_space_group_name_H-M 'P 1'
_symmetry_Int_Tables_number 1
_symmetry_space_group_name_Hall 'P 1'
_cell_length_a 3.604
_cell_length_b 3.602
_cell_length_c 6.650
_cell_angle_alpha 90.00
_cell_angle_beta 90.00
_cell_angle_gamma 90.00
loop_
_atom_site_label
_atom_site_type_symbol
_atom_site_fract_x
_atom_site_fract_y
_atom_site_fract_z
Ag1 Ag 0.000 0.000 0.052
Ag2 Ag 0.500 0.500 0.244
Sr1 Sr 0.500 0.500 0.740
Au1 Au 0.000 0.000 0.463
```

Results
The formation energy comes out at -0.2200 eV per atom. Its density of states at the Fermi level is 0.34 states/eV/atom. As for the symmetry: No. 99. Its mass density is 9.625 g cm⁻³.

***

No. 3
DFT (GGA-PBEsol) results for crystalline SrAgAu4 at its relaxed geometry.

The structure in CIF format:
```
data_SrAgAu4
_chemical_formula_sum 'Sr1 Ag1 Au4'
_symmetry_space_group_name_H-M 'P 1'
_symmetry_Int_Tables_number 1
_symmetry_space_group_name_Hall 'P 1'
_cell_length_a 5.519
_cell_length_b 5.519
_cell_length_c 5.519
_cell_angle_alpha 60.00
_cell_angle_beta 60.00
_cell_angle_gamma 60.00
loop_
_atom_site_label
_atom_site_type_symbol
_atom_site_fract_x
_atom_site_fract_y
_atom_site_fract_z
Au1 Au 0.877 0.374 0.374
Au2 Au 0.374 0.374 0.374
Au3 Au 0.374 0.374 0.877
Au4 Au 0.374 0.877 0.374
Ag1 Ag 0.000 0.000 0.000
Sr1 Sr 0.750 0.750 0.750
```

Results
The formation energy comes out at -0.3908 eV per atom. Its density of states at the Fermi level is 0.28 states/eV/atom. As for the symmetry: No. 216. Its mass density is 13.737 g cm⁻³.

***

No. 4
DFT (GGA-PBEsol) results for crystalline SrAg4Au at its relaxed geometry.

The structure in CIF format:
```
data_SrAg4Au
_chemical_formula_sum 'Sr1 Ag4 Au1'
_symmetry_space_group_name_H-M 'P 1'
_symmetry_Int_Tables_number 1
_symmetry_space_group_name_Hall 'P 1'
_cell_length_a 5.511
_cell_length_b 5.511
_cell_length_c 5.511
_cell_angle_alpha 60.00
_cell_angle_beta 60.00
_cell_angle_gamma 60.00
loop_
_atom_site_label
_atom_site_type_symbol
_atom_site_fract_x
_atom_site_fract_y
_atom_site_fract_z
Au1 Au 0.750 0.750 0.750
Ag1 Ag 0.376 0.873 0.376
Ag2 Ag 0.873 0.376 0.376
Ag3 Ag 0.376 0.376 0.873
Ag4 Ag 0.376 0.376 0.376
Sr1 Sr 0.000 0.000 0.000
```

Results
The formation energy comes out at -0.1949 eV per atom. Its density of states at the Fermi level is 0.36 states/eV/atom. As for the symmetry: No. 216. Its mass density is 10.045 g cm⁻³.